H3IBr: optimized geometry, PBE-GGA.

The space group is Pm-3m (No. 221) and the conventional cell measures 4.0613, 4.0613 and 4.0613 Å, with angles of 90.00, 90.00 and 90.00 degrees. The inequivalent atoms are H at (0.0000, 0.0000, 0.5000), I at (0.5000, 0.5000, 0.5000) and Br at (0.0000, 0.0000, 0.0000).

The calculation puts the magnetic moment at 0.00 μB/f.u. The calculation puts the density of states at the Fermi level at 2.5 states/eV per cell. Its crystal system is cubic. The distance to the lowest polymorph of the same formula comes out at 0.879 eV per atom.



H8IBr2: optimized geometry, PBE-GGA.

The space group is P-1 (No. 2) and the conventional cell measures 3.2774, 7.4502 and 11.2097 Å, with angles of 108.25, 92.67 and 95.34 degrees. The inequivalent atoms are H at (0.0814, 0.0412, 0.0047), H at (0.2395, 0.1075, 0.2958), H at (0.3795, 0.1967, 0.3034), H at (0.3963, 0.3804, 0.7646), I at (0.5000, 0.5000, 0.0000) and Br at (0.3335, 0.3101, 0.6264).

The calculation puts the magnetic moment at 0.00 μB/f.u. The calculation puts the density of states at the Fermi level at 0.9 states/eV per cell. Its crystal system is triclinic. The value obtained for the total DFT energy (no corrections) is -2.94 eV/atom.



H3IBr2: optimized geometry, PBE-GGA.

The space group is Cmc2_1 (No. 36) and the conventional cell measures 23.0037, 5.9880 and 5.6253 Å, with angles of 90.00, 90.00 and 90.00 degrees. The inequivalent atoms are H at (0.0000, 0.0523, 0.0000), H at (0.1713, 0.4499, 0.9040), I at (0.0000, 0.2590, 0.1989) and Br at (0.1713, 0.2832, 0.7132).

The calculation puts the magnetic moment at 0.00 μB/f.u. The calculation puts the density of states at the Fermi level at 0.0 states/eV per cell. Its crystal system is orthorhombic. The value obtained for the total DFT energy (no corrections) is -2.66 eV/atom.